Material: Y3TmGa2
Method: DFT, PBE
State: optimized geometry

Cell lengths 4.946, 6.564, 9.462 Å; angles 90.00, 90.00, 90.00 degrees
Atoms (fractional coordinates):
Ga  0.500  0.708  0.859
Y  0.000  0.966  0.048
Tm  0.500  0.533  0.550
Y  0.500  0.674  0.182
Y  0.000  0.325  0.324
Y  0.000  0.466  0.952
Ga  0.000  0.794  0.359
Ga  0.000  0.294  0.641
Y  0.500  0.174  0.818
Y  0.000  0.825  0.676
Tm  0.500  0.033  0.450
Ga  0.500  0.208  0.141

## Properties
Fermi-level density of states   0.960 states/eV/atom
Magnetic moment   0.00 Bohr magnetons per cell
Energy relative to the elements   -10.3 kcal/mol of atoms